## La4GaSiCl2 (PBE)

Data for crystalline La4GaSiCl2 at its relaxed geometry.

Cell and atoms, written as POSCAR:
```
La4GaSiCl2
1.0
7.3277 0.0000 0.0000
0.0000 4.3650 0.0000
-2.6517 0.0000 7.2048
La Ga Si Cl
4 1 1 2
Cartesian
1.0942 0.0000 1.7491
-0.2265 2.1825 5.4263
4.9025 2.1825 1.7785
3.5818 0.0000 5.4557
-1.3258 0.0000 3.6024
0.0000 2.1825 0.0000
3.6639 0.0000 0.0000
2.3380 2.1825 3.6024
```

- formation energy without anion corrections (eV per atom) = -1.1602
- final energy (eV for the cell shown) = -41.13
- mass density (g/cm³) = 5.22
- space-group type = P2/m, No. 10